(1)
CsSr2TlF8 PBE optimized geometry; SG = P2/m; V = 18.1 Å³ per atom; raw formation energy = -2.994 eV per atom; energy = -0.35210 Ry per atom
1.0
-4.2830 0.1216 -1.1010
1.7184 -3.5522 -4.4921
-1.3978 -6.6265 4.7052
F Tl Cs Sr
8 1 1 2
Direct
0.9672 0.2577 0.8042 F
0.0328 0.7423 0.8042 F
0.5443 0.2926 0.5000 F
0.4474 0.2246 0.0000 F
0.4557 0.7074 0.5000 F
0.9672 0.2577 0.1958 F
0.5526 0.7754 0.0000 F
0.0328 0.7423 0.1958 F
0.0000 0.0000 0.0000 Tl
0.0000 0.0000 0.5000 Cs
0.5000 0.5000 0.2473 Sr
0.5000 0.5000 0.7527 Sr

=====

(2)
UV3S6 PBE optimized geometry; SG = P2_1/m; V = 16.7 Å³ per atom; raw formation energy = -0.998 eV per atom; energy = -0.53940 Ry per atom
1.0
3.5482 0.0000 0.0000
0.0000 10.0261 -0.0397
0.0000 -3.3878 9.4198
S V U
12 6 2
Direct
0.7500 0.8984 0.0811 S
0.7500 0.1304 0.4681 S
0.7500 0.8002 0.7561 S
0.7500 0.7123 0.2690 S
0.2500 0.8696 0.5319 S
0.2500 0.1016 0.9189 S
0.2500 0.1998 0.2439 S
0.2500 0.5187 0.3821 S
0.7500 0.3781 0.0687 S
0.7500 0.4813 0.6179 S
0.2500 0.2877 0.7310 S
0.2500 0.6219 0.9313 S
0.2500 0.8717 0.9258 V
0.7500 0.1283 0.0742 V
0.2500 0.5413 0.1233 V
0.7500 0.4587 0.8767 V
0.7500 0.6740 0.5062 V
0.2500 0.3260 0.4938 V
0.7500 0.0549 0.7099 U
0.2500 0.9451 0.2901 U

=====

(3)
LiRhS2N PBE optimized geometry; distance to the lowest polymorph of the same formula = 0 meV/atom; SG = P4/mmm; V = 17.8 Å³ per atom; raw formation energy = 0.248 eV per atom; energy = -0.36168 Ry per atom
1.0
4.9522 0.0000 0.0000
0.0000 4.9522 0.0000
0.0000 0.0000 3.6235
S Rh Li N
2 1 1 1
Direct
0.0000 0.5000 0.0000 S
0.5000 0.0000 0.0000 S
0.0000 0.0000 0.0000 Rh
0.5000 0.5000 0.5000 Li
0.0000 0.0000 0.5000 N

=====

(4)
GdDyScRh PBE optimized geometry; SG = F-43m; V = 23.2 Å³ per atom; energy = -0.60850 Ry per atom; energy of formation = -0.188 eV/atom
1.0
-0.5062 -3.4298 3.7159
3.8884 -3.0473 1.1924
2.4694 0.6335 4.3964
Sc Rh Dy Gd
1 1 1 1
Direct
0.0000 0.0000 0.0000 Sc
0.5000 0.5000 0.5000 Rh
0.2500 0.2500 0.2500 Dy
0.7500 0.7500 0.7500 Gd

=====

(5)
NaHf3W PBE optimized geometry; distance to the lowest polymorph of the same formula = 0 meV/atom; SG = Pm-3m; V = 27.5 Å³ per atom; energy = -0.58157 Ry per atom; energy of formation = 0.914 eV/atom
1.0
-4.0077 2.8299 -1.6038
-3.1757 -3.9548 0.9575
-0.7039 1.7302 4.8118
Hf W Na
3 1 1
Direct
0.0000 0.5000 0.0000 Hf
0.0000 0.0000 0.5000 Hf
0.5000 0.0000 0.0000 Hf
0.0000 0.0000 0.0000 W
0.5000 0.5000 0.5000 Na

=====

(6)
CdTcI6 PBE optimized geometry; SG = C2/m; V = 44.6 Å³ per atom; raw formation energy = -0.222 eV per atom; energy = -0.20544 Ry per atom
1.0
-3.3754 -4.6012 -5.0115
2.5995 -2.7272 6.5943
-6.3653 1.3207 3.0637
I Tc Cd
6 1 1
Direct
0.7013 0.7013 0.2775 I
0.2987 0.2987 0.7225 I
0.2975 0.0018 0.2769 I
0.9982 0.7025 0.7231 I
0.0018 0.2975 0.2769 I
0.7025 0.9982 0.7231 I
0.0000 0.0000 0.5000 Tc
0.0000 0.0000 0.0000 Cd

=====

(7)
Th2CuHg PBE optimized geometry; distance to the lowest polymorph of the same formula = 4 meV/atom; SG = P2_1/m; V = 25.8 Å³ per atom; energy = -0.36297 Ry per atom; energy of formation = -0.129 eV/atom
1.0
-2.9154 3.3280 0.6573
-2.8960 -3.4374 4.5595
5.3955 4.0652 3.3485
Th Cu Hg
4 2 2
Direct
0.2500 0.8179 0.5704 Th
0.7500 0.1821 0.4296 Th
0.7500 0.1852 0.9118 Th
0.2500 0.8148 0.0882 Th
0.2500 0.3535 0.7128 Cu
0.7500 0.6465 0.2872 Cu
0.2500 0.3737 0.2188 Hg
0.7500 0.6263 0.7812 Hg

=====

(8)
Y3B7Rh PBE optimized geometry; SG = Cmcm; V = 11.8 Å³ per atom; energy = -0.53469 Ry per atom; energy of formation = -0.594 eV/atom
1.0
3.5019 0.0000 0.0000
-1.7510 7.8951 0.0000
0.0000 0.0000 9.3870
Y B Rh
6 14 2
Direct
0.7540 0.5080 0.2500 Y
0.1064 0.2129 0.4396 Y
0.8936 0.7871 0.9396 Y
0.1064 0.2129 0.0604 Y
0.8936 0.7871 0.5604 Y
0.2460 0.4920 0.7500 Y
0.2729 0.5459 0.0334 B
0.4573 0.9146 0.7500 B
0.7271 0.4541 0.5334 B
0.5205 0.0411 0.5958 B
0.7271 0.4541 0.9666 B
0.4795 0.9589 0.4042 B
0.3676 0.7352 0.1514 B
0.5427 0.0854 0.2500 B
0.2729 0.5459 0.4666 B
0.5205 0.0411 0.9042 B
0.3676 0.7352 0.3486 B
0.6324 0.2648 0.8486 B
0.6324 0.2648 0.6514 B
0.4795 0.9589 0.0958 B
0.9464 0.8928 0.2500 Rh
0.0536 0.1072 0.7500 Rh

=====

(9)
UNbV4 PBE optimized geometry; SG = F-43m; V = 15.9 Å³ per atom; energy = -0.69660 Ry per atom; energy of formation = 0.161 eV/atom
1.0
5.1261 0.0000 0.0000
2.5631 4.4394 0.0000
2.5631 1.4798 4.1855
Nb V U
1 4 1
Direct
0.0000 0.0000 0.0000 Nb
0.6241 0.6241 0.6241 V
0.1276 0.6241 0.6241 V
0.6241 0.6241 0.1276 V
0.6241 0.1276 0.6241 V
0.2500 0.2500 0.2500 U

=====

(10)
Zn7Sb8Ru9 PBE optimized geometry; SG = Fm-3m; V = 18.0 Å³ per atom; raw formation energy = -0.193 eV per atom; energy = -0.39815 Ry per atom
1.0
8.4898 0.0000 0.0000
4.2449 7.3524 0.0000
4.2449 2.4508 6.9319
Zn Sb Ru
7 8 9
Direct
0.0000 0.5000 0.5000 Zn
0.5000 0.0000 0.0000 Zn
0.5000 0.5000 0.0000 Zn
0.0000 0.0000 0.0000 Zn
0.5000 0.0000 0.5000 Zn
0.0000 0.5000 0.0000 Zn
0.0000 0.0000 0.5000 Zn
0.7258 0.2742 0.7258 Sb
0.2742 0.7258 0.7258 Sb
0.2742 0.7258 0.2742 Sb
0.7258 0.2742 0.2742 Sb
0.2742 0.2742 0.7258 Sb
0.7258 0.7258 0.2742 Sb
0.7500 0.7500 0.7500 Sb
0.2500 0.2500 0.2500 Sb
0.6293 0.1236 0.1236 Ru
0.5000 0.5000 0.5000 Ru
0.8764 0.8764 0.3707 Ru
0.8764 0.3707 0.8764 Ru
0.1236 0.1236 0.6293 Ru
0.8764 0.8764 0.8764 Ru
0.1236 0.6293 0.1236 Ru
0.1236 0.1236 0.1236 Ru
0.3707 0.8764 0.8764 Ru

=====

(11)
Zr2ScSbC PBE optimized geometry; SG = P4/mmm; V = 19.0 Å³ per atom; raw formation energy = -0.568 eV per atom; energy = -0.58228 Ry per atom
1.0
4.5798 0.0000 0.0000
0.0000 4.5798 0.0000
0.0000 0.0000 4.5189
Zr Sc C Sb
2 1 1 1
Direct
0.0000 0.5000 0.0000 Zr
0.5000 0.0000 0.0000 Zr
0.0000 0.0000 0.5000 Sc
0.0000 0.0000 0.0000 C
0.5000 0.5000 0.5000 Sb

=====

(12)
RbLaB2As PBE optimized geometry; SG = P4/mmm; V = 32.1 Å³ per atom; energy = -0.21868 Ry per atom; energy of formation = 1.805 eV/atom
1.0
-0.0442 4.8785 1.1264
-4.5021 0.9876 -4.4537
-3.5635 -0.8219 3.4200
B La As Rb
2 1 1 1
Direct
0.5000 0.0000 0.0000 B
0.0000 0.0000 0.5000 B
0.0000 0.0000 0.0000 La
0.5000 0.5000 0.5000 As
0.0000 0.5000 0.0000 Rb